[1]
A geometry-optimized Mg3MnBr8 structure. Source: Alexandria via LeMat-Bulk, functional PBE.

## Properties
For the total magnetization, the calculation gives 5.000 μB per cell. For the energy relative to the elements, uncorrected, the calculation gives -1.31 eV/atom.

Cell: 7.761 7.764 8.487 Å, 117.69 90.00 119.99°
Fractional coordinates of all 12 atoms:
1 Mg 0.500 0.000 0.000
2 Mg 0.500 0.500 0.000
3 Mg 0.000 0.500 0.000
4 Mn 0.000 0.000 0.000
5 Br 0.262 0.524 0.790
6 Br 0.738 0.476 0.210
7 Br 0.262 0.024 0.789
8 Br 0.762 0.024 0.789
9 Br 0.762 0.524 0.789
10 Br 0.238 0.476 0.211
11 Br 0.238 0.976 0.211
12 Br 0.738 0.976 0.211

---

[2]
A geometry-optimized MgMn3Br structure. Source: Alexandria via LeMat-Bulk, functional PBE.

## Properties
For the total magnetization, the calculation gives 13.765 μB per cell. For the energy relative to the elements, uncorrected, the calculation gives 1.19 eV/atom. The distance to the lowest polymorph of the same formula is 0.268 eV/atom.

Cell: 5.169 5.169 5.169 Å, 90.00 90.00 90.00°
Fractional coordinates of all 5 atoms:
1 Mg 0.000 0.000 0.000
2 Mn 0.000 0.500 0.000
3 Mn 0.000 0.000 0.500
4 Mn 0.500 0.000 0.000
5 Br 0.500 0.500 0.500

---

[3]
A geometry-optimized MgMn4Br structure. Source: Alexandria via LeMat-Bulk, functional PBE.

## Properties
For the total magnetization, the calculation gives 15.019 μB per cell. For the energy relative to the elements, uncorrected, the calculation gives 0.64 eV/atom.

Cell: 5.395 5.395 5.395 Å, 60.00 60.00 60.00°
Fractional coordinates of all 6 atoms:
1 Mg 0.000 0.000 0.000
2 Mn 0.881 0.373 0.373
3 Mn 0.373 0.373 0.373
4 Mn 0.373 0.373 0.881
5 Mn 0.373 0.881 0.373
6 Br 0.750 0.750 0.750